# Sc2Ta

A geometry-optimized Sc2Ta structure (PBEsol, Alexandria).

The value obtained for the formation enthalpy at 0 K is 0.20 eV/atom. The energy above the most stable polymorph in this dataset comes out at 0.0000 eV per atom.

Cell lengths 4.208, 4.566, 6.815 Å; angles 70.43, 90.00, 90.00 degrees
Positions (direct):
Sc  0.750  0.580  0.840
Sc  0.250  0.420  0.160
Sc  0.750  0.249  0.501
Sc  0.250  0.751  0.499
Ta  0.750  0.925  0.149
Ta  0.250  0.075  0.851

# ScTa

A geometry-optimized ScTa structure (PBEsol, Alexandria).

The value obtained for the formation enthalpy at 0 K is 0.97 eV/atom. The energy above the most stable polymorph in this dataset comes out at 0.8611 eV per atom.

Cell lengths 4.736, 4.736, 4.920 Å; angles 90.00, 90.00, 120.00 degrees
Positions (direct):
Sc  0.667  0.333  0.750
Sc  0.333  0.667  0.250
Ta  0.000  0.000  0.000
Ta  0.000  0.000  0.500

# ScTa

A geometry-optimized ScTa structure (PBEsol, Alexandria).

The value obtained for the formation enthalpy at 0 K is 2.98 eV/atom. The energy above the most stable polymorph in this dataset comes out at 2.8697 eV per atom.

Cell lengths 4.404, 4.404, 4.404 Å; angles 60.00, 60.00, 60.00 degrees
Positions (direct):
Sc  0.000  0.000  0.000
Ta  0.250  0.250  0.250

# ScTa3

A geometry-optimized ScTa3 structure (PBEsol, Alexandria).

The value obtained for the formation enthalpy at 0 K is 0.29 eV/atom. The energy above the most stable polymorph in this dataset comes out at 0.1697 eV per atom.

Cell lengths 4.211, 4.211, 4.211 Å; angles 90.00, 90.00, 90.00 degrees
Positions (direct):
Sc  0.000  0.000  0.000
Ta  0.000  0.500  0.500
Ta  0.500  0.000  0.500
Ta  0.500  0.500  0.000

# ScTa

A geometry-optimized ScTa structure (PBEsol, Alexandria).

The value obtained for the formation enthalpy at 0 K is 0.24 eV/atom. The energy above the most stable polymorph in this dataset comes out at 0.1235 eV per atom.

Cell lengths 3.012, 3.012, 10.031 Å; angles 90.00, 90.00, 120.00 degrees
Positions (direct):
Sc  0.000  0.000  0.000
Sc  0.000  0.000  0.500
Ta  0.667  0.333  0.750
Ta  0.333  0.667  0.250

# ScTa3

A geometry-optimized ScTa3 structure (PBEsol, Alexandria).

The value obtained for the formation enthalpy at 0 K is 0.24 eV/atom. The energy above the most stable polymorph in this dataset comes out at 0.1177 eV per atom.

Cell lengths 2.752, 4.698, 5.748 Å; angles 90.00, 90.00, 90.00 degrees
Positions (direct):
Sc  0.000  0.000  0.000
Ta  0.000  0.000  0.500
Ta  0.500  0.500  0.255
Ta  0.500  0.500  0.745

# ScTa

A geometry-optimized ScTa structure (PBEsol, Alexandria).

The value obtained for the formation enthalpy at 0 K is 0.20 eV/atom. The energy above the most stable polymorph in this dataset comes out at 0.0825 eV per atom.

Cell lengths 2.924, 5.910, 7.207 Å; angles 102.23, 90.00, 104.32 degrees
Positions (direct):
Sc  0.998  0.995  0.988
Sc  0.392  0.783  0.294
Sc  0.326  0.651  0.652
Ta  0.657  0.314  0.313
Ta  0.073  0.146  0.628
Ta  0.722  0.444  0.958

# Sc2Ta

A geometry-optimized Sc2Ta structure (PBEsol, Alexandria).

The value obtained for the formation enthalpy at 0 K is 0.66 eV/atom. The energy above the most stable polymorph in this dataset comes out at 0.4518 eV per atom.

Cell lengths 5.532, 5.532, 5.532 Å; angles 60.00, 60.00, 60.00 degrees
Positions (direct):
Sc  0.125  0.625  0.625
Sc  0.625  0.625  0.625
Sc  0.625  0.625  0.125
Sc  0.625  0.125  0.625
Ta  0.000  0.000  0.000
Ta  0.250  0.250  0.250

# ScTa

A geometry-optimized ScTa structure (PBEsol, Alexandria).

The value obtained for the formation enthalpy at 0 K is 0.11 eV/atom. The energy above the most stable polymorph in this dataset comes out at 0.0000 eV per atom.

Cell lengths 3.400, 3.400, 7.159 Å; angles 90.00, 90.00, 90.00 degrees
Positions (direct):
Sc  0.500  0.000  0.838
Sc  0.000  0.500  0.162
Ta  0.500  0.000  0.408
Ta  0.000  0.500  0.592

# Sc2Ta

A geometry-optimized Sc2Ta structure (PBEsol, Alexandria).

The value obtained for the formation enthalpy at 0 K is 0.59 eV/atom. The energy above the most stable polymorph in this dataset comes out at 0.3881 eV per atom.

Cell lengths 2.941, 5.003, 5.003 Å; angles 90.00, 90.00, 90.00 degrees
Positions (direct):
Sc  0.500  0.000  0.500
Sc  0.500  0.500  0.000
Ta  0.000  0.000  0.000

# ScTaTc2

A geometry-optimized ScTaTc2 structure (PBEsol, Alexandria).

The value obtained for the formation enthalpy at 0 K is -0.26 eV/atom. The energy above the most stable polymorph in this dataset comes out at 0.0410 eV per atom.

Cell lengths 3.145, 4.400, 5.352 Å; angles 114.27, 107.09, 90.00 degrees
Positions (direct):
Sc  0.495  0.495  0.990
Tc  0.004  0.004  0.009
Tc  0.738  0.238  0.476
Ta  0.263  0.763  0.525

# ScTaTc2

A geometry-optimized ScTaTc2 structure (PBEsol, Alexandria).

The value obtained for the formation enthalpy at 0 K is -0.30 eV/atom. The energy above the most stable polymorph in this dataset comes out at 0.0000 eV per atom.

Cell lengths 3.166, 3.166, 6.394 Å; angles 90.00, 90.00, 90.00 degrees
Positions (direct):
Sc  0.500  0.500  0.000
Tc  0.000  0.000  0.737
Tc  0.000  0.000  0.263
Ta  0.500  0.500  0.500

# ScTa2Tc

A geometry-optimized ScTa2Tc structure (PBEsol, Alexandria).

The value obtained for the formation enthalpy at 0 K is -0.08 eV/atom.

Cell lengths 3.179, 4.674, 5.419 Å; angles 115.54, 107.06, 90.00 degrees
Positions (direct):
Sc  0.234  0.734  0.467
Ta  0.005  0.005  0.011
Ta  0.769  0.269  0.538
Tc  0.492  0.492  0.984

# ScTa2Tc

A geometry-optimized ScTa2Tc structure (PBEsol, Alexandria).

The value obtained for the formation enthalpy at 0 K is -0.08 eV/atom.

Cell lengths 3.163, 3.163, 6.979 Å; angles 90.00, 90.00, 90.00 degrees
Positions (direct):
Sc  0.500  0.500  0.728
Ta  0.000  0.000  0.018
Ta  0.500  0.500  0.275
Tc  0.000  0.000  0.480

# ScTaTc2

A geometry-optimized ScTaTc2 structure (PBEsol, Alexandria).

The value obtained for the formation enthalpy at 0 K is -0.03 eV/atom. The energy above the most stable polymorph in this dataset comes out at 0.2713 eV per atom.

Cell lengths 4.465, 4.465, 4.465 Å; angles 60.00, 60.00, 60.00 degrees
Positions (direct):
Sc  0.500  0.500  0.500
Ta  0.250  0.250  0.250
Tc  0.000  0.000  0.000
Tc  0.750  0.750  0.750

# ScTaTc2

A geometry-optimized ScTaTc2 structure (PBEsol, Alexandria).

The value obtained for the formation enthalpy at 0 K is -0.30 eV/atom. The energy above the most stable polymorph in this dataset comes out at 0.0020 eV per atom.

Cell lengths 4.474, 4.474, 4.474 Å; angles 60.00, 60.00, 60.00 degrees
Positions (direct):
Sc  0.000  0.000  0.000
Tc  0.250  0.250  0.250
Tc  0.750  0.750  0.750
Ta  0.500  0.500  0.500

# Sc3TaTe

A geometry-optimized Sc3TaTe structure (PBEsol, Alexandria).

As for the raw total energy: -6.68 eV per atom.

Cell lengths 5.062, 5.062, 5.062 Å; angles 90.00, 90.00, 90.00 degrees
Positions (direct):
Sc  0.000  0.500  0.000
Sc  0.000  0.000  0.500
Sc  0.500  0.000  0.000
Te  0.500  0.500  0.500
Ta  0.000  0.000  0.000

# ScTaTe3

A geometry-optimized ScTaTe3 structure (PBEsol, Alexandria).

As for the raw total energy: -5.71 eV per atom.

Cell lengths 5.336, 5.336, 5.336 Å; angles 90.00, 90.00, 90.00 degrees
Positions (direct):
Sc  0.500  0.500  0.500
Te  0.000  0.500  0.000
Te  0.000  0.000  0.500
Te  0.500  0.000  0.000
Ta  0.000  0.000  0.000

# ScTaTe4

A geometry-optimized ScTaTe4 structure (PBEsol, Alexandria).

As for the raw total energy: -4.65 eV per atom.

Cell lengths 6.024, 6.024, 6.024 Å; angles 60.00, 60.00, 60.00 degrees
Positions (direct):
Sc  0.750  0.750  0.750
Ta  0.000  0.000  0.000
Te  0.374  0.374  0.374
Te  0.374  0.374  0.877
Te  0.877  0.374  0.374
Te  0.374  0.877  0.374

# ScTaTl2

A geometry-optimized ScTaTl2 structure (PBEsol, Alexandria).

The value obtained for the formation enthalpy at 0 K is 0.22 eV/atom.

Cell lengths 3.066, 4.938, 5.689 Å; angles 90.00, 95.41, 90.00 degrees
Positions (direct):
Sc  0.500  0.500  0.000
Ta  0.000  0.500  0.500
Tl  0.786  0.000  0.743
Tl  0.214  0.000  0.257

# ScTa2Tl

A geometry-optimized ScTa2Tl structure (PBEsol, Alexandria).

The value obtained for the formation enthalpy at 0 K is 0.15 eV/atom. The energy above the most stable polymorph in this dataset comes out at 0.0000 eV per atom.

Cell lengths 3.800, 4.275, 4.704 Å; angles 90.00, 90.00, 90.00 degrees
Positions (direct):
Sc  0.000  0.500  0.500
Ta  0.000  0.000  0.000
Ta  0.500  0.500  0.000
Tl  0.500  0.000  0.500

# ScTaTl2

A geometry-optimized ScTaTl2 structure (PBEsol, Alexandria).

The value obtained for the formation enthalpy at 0 K is 0.15 eV/atom.

Cell lengths 4.153, 4.153, 5.645 Å; angles 111.58, 111.58, 90.00 degrees
Positions (direct):
Sc  0.500  0.500  0.000
Ta  0.250  0.750  0.500
Tl  0.000  0.000  0.000
Tl  0.750  0.250  0.500

# ScTaTl2

A geometry-optimized ScTaTl2 structure (PBEsol, Alexandria).

The value obtained for the formation enthalpy at 0 K is 0.25 eV/atom.

Cell lengths 3.111, 5.153, 5.153 Å; angles 90.00, 90.00, 90.00 degrees
Positions (direct):
Sc  0.500  0.500  0.500
Ta  0.500  0.000  0.000
Tl  0.000  0.000  0.500
Tl  0.000  0.500  0.000

# Sc2TaTl

A geometry-optimized Sc2TaTl structure (PBEsol, Alexandria).

The value obtained for the formation enthalpy at 0 K is 0.08 eV/atom. The energy above the most stable polymorph in this dataset comes out at 0.1079 eV per atom.

Cell lengths 3.189, 4.239, 6.142 Å; angles 90.00, 90.00, 90.00 degrees
Positions (direct):
Sc  0.000  0.000  0.998
Sc  0.500  0.500  0.266
Ta  0.000  0.000  0.486
Tl  0.500  0.500  0.750

# Sc2TaTl

A geometry-optimized Sc2TaTl structure (PBEsol, Alexandria).

The value obtained for the formation enthalpy at 0 K is 0.12 eV/atom. The energy above the most stable polymorph in this dataset comes out at 0.1493 eV per atom.

Cell lengths 3.142, 5.329, 5.317 Å; angles 103.73, 90.00, 107.15 degrees
Positions (direct):
Sc  0.753  0.506  0.755
Sc  0.247  0.494  0.245
Ta  0.500  0.000  0.000
Tl  0.000  0.000  0.500

# ScTa2Tl

A geometry-optimized ScTa2Tl structure (PBEsol, Alexandria).

The value obtained for the formation enthalpy at 0 K is 0.35 eV/atom. The energy above the most stable polymorph in this dataset comes out at 0.2096 eV per atom.

Cell lengths 2.908, 2.908, 9.301 Å; angles 90.00, 90.00, 90.00 degrees
Positions (direct):
Sc  0.500  0.500  0.500
Ta  0.000  0.000  0.753
Ta  0.000  0.000  0.247
Tl  0.500  0.500  0.000

# Sc2TaTl

A geometry-optimized Sc2TaTl structure (PBEsol, Alexandria).

The value obtained for the formation enthalpy at 0 K is -0.03 eV/atom. The energy above the most stable polymorph in this dataset comes out at 0.0000 eV per atom.

Cell lengths 3.200, 3.698, 7.015 Å; angles 90.00, 90.00, 90.00 degrees
Positions (direct):
Sc  0.000  0.000  0.764
Sc  0.000  0.000  0.236
Ta  0.500  0.500  0.000
Tl  0.500  0.500  0.500

# ScTaTl2

A geometry-optimized ScTaTl2 structure (PBEsol, Alexandria).

The value obtained for the formation enthalpy at 0 K is 0.18 eV/atom.

Cell lengths 4.237, 4.393, 4.393 Å; angles 90.00, 90.00, 90.00 degrees
Positions (direct):
Sc  0.500  0.500  0.500
Ta  0.500  0.000  0.000
Tl  0.000  0.000  0.500
Tl  0.000  0.500  0.000

# Sc2TaTl

A geometry-optimized Sc2TaTl structure (PBEsol, Alexandria).

The value obtained for the formation enthalpy at 0 K is 0.09 eV/atom. The energy above the most stable polymorph in this dataset comes out at 0.1154 eV per atom.

Cell lengths 3.025, 3.025, 9.252 Å; angles 90.00, 90.00, 90.00 degrees
Positions (direct):
Sc  0.000  0.000  0.988
Sc  0.500  0.500  0.270
Ta  0.000  0.000  0.500
Tl  0.500  0.500  0.743

# ScTa2Tl

A geometry-optimized ScTa2Tl structure (PBEsol, Alexandria).

The value obtained for the formation enthalpy at 0 K is 0.24 eV/atom. The energy above the most stable polymorph in this dataset comes out at 0.0981 eV per atom.

Cell lengths 4.252, 4.251, 5.207 Å; angles 114.09, 114.10, 90.00 degrees
Positions (direct):
Sc  0.750  0.250  0.500
Ta  0.000  0.000  0.000
Ta  0.250  0.750  0.500
Tl  0.500  0.500  0.000